Material: HfMgPbN2
Method: DFT, GGA-PBE
State: relaxed

a b c (Å): 4.107 5.385 4.107
angles (deg): 90.00 90.00 90.00
Atoms (fractional coordinates):
N1 0.500 0.000 0.000
N2 0.000 0.000 0.500
Hf1 0.000 0.500 0.000
Mg1 0.000 0.000 0.000
Pb1 0.500 0.500 0.500

---

Material: YAgHgGe
Method: DFT, GGA-PBE
State: relaxed

Calculated values
For the formation energy, the calculation gives -31 kJ per mole of atoms.

a b c (Å): 4.974 4.974 4.974
angles (deg): 60.00 60.00 60.00
Atoms (fractional coordinates):
Y1 0.500 0.500 0.500
Hg1 0.750 0.750 0.750
Ag1 0.000 0.000 0.000
Ge1 0.250 0.250 0.250

---

Material: Er5HgPt2
Method: DFT, GGA-PBE
State: relaxed

Calculated values
For the formation energy, the calculation gives -82 kJ per mole of atoms.

a b c (Å): 7.800 7.800 8.572
angles (deg): 117.06 117.06 90.00
Atoms (fractional coordinates):
Er1 0.500 0.500 0.000
Er2 0.203 0.021 0.724
Er3 0.703 0.203 0.724
Er4 0.479 0.297 0.276
Er5 0.000 0.000 0.000
Er6 0.797 0.979 0.276
Er7 0.979 0.479 0.276
Er8 0.021 0.521 0.724
Er9 0.521 0.703 0.724
Er10 0.297 0.797 0.276
Hg1 0.750 0.750 0.500
Hg2 0.250 0.250 0.500
Pt1 0.638 0.138 0.000
Pt2 0.862 0.638 0.000
Pt3 0.362 0.862 0.000
Pt4 0.138 0.362 0.000

---

Material: BiBAs2
Method: DFT, GGA-PBE
State: relaxed

Calculated values
As for the energy above the most stable polymorph in this dataset: 0 meV per atom. For the formation energy, the calculation gives 27 kJ per mole of atoms.

a b c (Å): 6.347 6.347 6.129
angles (deg): 58.82 58.82 90.00
Atoms (fractional coordinates):
As1 0.518 0.125 0.250
As2 0.375 0.482 0.750
As3 0.232 0.625 0.250
As4 0.875 0.768 0.750
B1 0.250 0.750 0.500
B2 0.500 0.500 0.000
Bi1 0.000 0.000 0.000
Bi2 0.750 0.250 0.500

---

Material: NpH2IrO8
Method: DFT, GGA-PBE
State: relaxed

a b c (Å): 5.132 5.131 6.514
angles (deg): 87.37 92.66 64.26
Atoms (fractional coordinates):
O1 0.797 0.797 0.000
O2 0.794 0.794 0.500
O3 0.206 0.206 0.500
O4 0.734 0.266 0.764
O5 0.203 0.203 0.000
O6 0.232 0.768 0.775
O7 0.266 0.734 0.236
O8 0.768 0.232 0.225
Np1 0.000 0.000 0.500
H1 0.440 0.560 0.203
H2 0.560 0.440 0.797
Ir1 0.000 0.000 0.000

---

Material: BeCdHg2
Method: DFT, GGA-PBE
State: relaxed

Calculated values
As for the energy above the most stable polymorph in this dataset: 208 meV per atom. For the formation energy, the calculation gives 42 kJ per mole of atoms.

a b c (Å): 4.123 4.398 4.398
angles (deg): 90.00 90.00 90.00
Atoms (fractional coordinates):
Cd1 0.500 0.000 0.500
Hg1 0.000 0.500 0.500
Hg2 0.000 0.000 0.000
Be1 0.500 0.500 0.000

---

Material: LiP2Rh
Method: DFT, GGA-PBE
State: relaxed

Calculated values
As for the energy above the most stable polymorph in this dataset: 92 meV per atom. For the formation energy, the calculation gives -33 kJ per mole of atoms.

a b c (Å): 4.228 4.228 4.228
angles (deg): 60.00 60.00 60.00
Atoms (fractional coordinates):
Rh1 0.500 0.500 0.500
P1 0.750 0.750 0.750
P2 0.250 0.250 0.250
Li1 0.000 0.000 0.000

---

Material: DyTmGe
Method: DFT, GGA-PBE
State: relaxed

Calculated values
For the formation energy, the calculation gives -50 kJ per mole of atoms.

a b c (Å): 4.842 4.842 4.842
angles (deg): 60.00 60.00 60.00
Atoms (fractional coordinates):
Dy1 0.000 0.000 0.000
Tm1 0.500 0.500 0.500
Ge1 0.250 0.250 0.250

---

no.,VASP energy (Ry/atom)
1,-0.3660
2,-0.2852
3,-0.3855
4,-0.3442
5,-0.5085
6,-0.0642
7,-0.3942
8,-0.3737